<A>
A relaxed structure of NaInBAu. Source: OQMD via LeMat-Bulk, functional PBE.

Lattice parameters (Å, degrees): 4.6033 4.6033 4.6033 60.00 60.00 60.00
Sites, in units of the cell vectors:
1 Na 0.0000 0.0000 0.0000
2 In 0.2500 0.2500 0.2500
3 B 0.5000 0.5000 0.5000
4 Au 0.7500 0.7500 0.7500

Computed properties:
The volume is 68.97 Å³/cell. As for the space-group type: No. 216.

---

<B>
A relaxed structure of NaInBAu. Source: OQMD via LeMat-Bulk, functional PBE.

Lattice parameters (Å, degrees): 4.6231 4.6231 4.6231 60.00 60.00 60.00
Sites, in units of the cell vectors:
1 Na 0.0000 0.0000 0.0000
2 In 0.2500 0.2500 0.2500
3 B 0.7500 0.7500 0.7500
4 Au 0.5000 0.5000 0.5000

Computed properties:
The volume is 69.87 Å³/cell. As for the space-group type: No. 216.

---

<C>
A relaxed structure of NaInBAu. Source: OQMD via LeMat-Bulk, functional PBE.

Lattice parameters (Å, degrees): 4.6727 4.6727 4.6727 60.00 60.00 60.00
Sites, in units of the cell vectors:
1 Na 0.0000 0.0000 0.0000
2 In 0.5000 0.5000 0.5000
3 B 0.2500 0.2500 0.2500
4 Au 0.7500 0.7500 0.7500

Computed properties:
The volume is 72.14 Å³/cell. As for the space-group type: No. 216.

---

Most stable: <C>. Least stable: <A>.

---

<A>
A relaxed structure of TaBIrAu. Source: OQMD via LeMat-Bulk, functional PBE.

Lattice parameters (Å, degrees): 4.3772 4.3772 4.3772 60.00 60.00 60.00
Sites, in units of the cell vectors:
1 Ta 0.0000 0.0000 0.0000
2 B 0.7500 0.7500 0.7500
3 Ir 0.2500 0.2500 0.2500
4 Au 0.5000 0.5000 0.5000

Computed properties:
The volume is 59.30 Å³/cell. The magnetic moment is 0.01 μB per cell. As for the space-group type: No. 216.

---

<B>
A relaxed structure of TaBIrAu. Source: OQMD via LeMat-Bulk, functional PBE.

Lattice parameters (Å, degrees): 4.3961 4.3961 4.3961 60.00 60.00 60.00
Sites, in units of the cell vectors:
1 Ta 0.0000 0.0000 0.0000
2 B 0.5000 0.5000 0.5000
3 Ir 0.2500 0.2500 0.2500
4 Au 0.7500 0.7500 0.7500

Computed properties:
The volume is 60.07 Å³/cell. The magnetic moment is 0.00 μB per cell. As for the space-group type: No. 216.

---

<C>
A relaxed structure of TaBIrAu. Source: OQMD via LeMat-Bulk, functional PBE.

Lattice parameters (Å, degrees): 4.3400 4.3400 4.3400 60.00 60.00 60.00
Sites, in units of the cell vectors:
1 Ta 0.0000 0.0000 0.0000
2 B 0.2500 0.2500 0.2500
3 Ir 0.5000 0.5000 0.5000
4 Au 0.7500 0.7500 0.7500

Computed properties:
The volume is 57.80 Å³/cell. The magnetic moment is 0.01 μB per cell. As for the space-group type: No. 216.

---

Most stable: <C>. Least stable: <B>.

---

<A>
A relaxed structure of KB4Au. Source: OQMD via LeMat-Bulk, functional PBE.

Lattice parameters (Å, degrees): 5.7414 5.7414 5.7414 153.16 119.92 66.98
Sites, in units of the cell vectors:
1 K 0.0000 0.0000 0.0000
2 B 0.1146 0.7616 0.3530
3 B 0.4086 0.7616 0.6470
4 B 0.5914 0.2384 0.3530
5 B 0.8854 0.2384 0.6470
6 Au 0.5000 0.5000 0.0000

Computed properties:
The volume is 73.35 Å³/cell. As for the space-group type: No. 71.

---

<B>
A relaxed structure of KB4Au. Source: OQMD via LeMat-Bulk, functional PBE.

Lattice parameters (Å, degrees): 3.0987 3.0987 8.6120 90.00 90.00 120.00
Sites, in units of the cell vectors:
1 K 0.0000 0.0000 0.0000
2 B 0.3333 0.6667 0.2821
3 B 0.3333 0.6667 0.7179
4 B 0.6667 0.3333 0.2821
5 B 0.6667 0.3333 0.7179
6 Au 0.0000 0.0000 0.5000

Computed properties:
The volume is 71.61 Å³/cell. As for the space-group type: No. 191.

---

Most stable: <A>. Least stable: <B>.